# 1
The following is a PBE calculation of a relaxed structure of CsRbAsSe2, from the Alexandria database.

Unit cell a=6.326 b=6.326 c=6.193 alpha=90.00 beta=90.00 gamma=90.00
Space group P4/mmm (No. 123)
Asymmetric unit:
Cs  0.000  0.000  0.000 (multiplicity 1)
Rb  0.500  0.500  0.500 (multiplicity 1)
As  0.000  0.000  0.500 (multiplicity 1)
Se  0.000  0.500  0.000 (multiplicity 2)

For the total moment, the calculation gives 0.68 μB/atom. For the formation energy from raw total energies, the calculation gives 0.466 eV per atom. As for the calculated density: 3.02 Mg/m³. The energy above the most stable polymorph in this dataset comes out at 4.90 eV per formula unit.

---

# 2
The following is a PBE calculation of a relaxed structure of CsRbSi2As, from the Alexandria database.

Unit cell a=5.789 b=5.789 c=6.368 alpha=90.00 beta=90.00 gamma=90.00
Space group P4/mmm (No. 123)
Asymmetric unit:
Cs  0.000  0.000  0.000 (multiplicity 1)
Rb  0.000  0.000  0.500 (multiplicity 1)
Si  0.000  0.500  0.000 (multiplicity 2)
As  0.500  0.500  0.500 (multiplicity 1)

For the total moment, the calculation gives 0.00 μB/atom. For the formation energy from raw total energies, the calculation gives 1.691 eV per atom. As for the calculated density: 2.72 Mg/m³.

---

# 3
The following is a PBE calculation of a relaxed structure of Cs2RbSiAs2, from the Alexandria database.

Unit cell a=9.135 b=16.376 c=6.705 alpha=90.00 beta=90.00 gamma=90.00
Space group Ibam (No. 72)
Asymmetric unit:
Cs  0.175  0.182  0.000 (multiplicity 8)
Rb  0.000  0.500  0.250 (multiplicity 4)
Si  0.000  0.000  0.250 (multiplicity 4)
As  0.159  0.064  0.500 (multiplicity 8)

For the total moment, the calculation gives 0.11 μB/atom. For the formation energy from raw total energies, the calculation gives -0.290 eV per atom. As for the calculated density: 3.50 Mg/m³.

---

# 4
The following is a PBE calculation of a relaxed structure of CsRbSrAs2, from the Alexandria database.

Unit cell a=6.140 b=6.140 c=5.881 alpha=90.00 beta=90.00 gamma=90.00
Space group P4/mmm (No. 123)
Asymmetric unit:
Cs  0.000  0.000  0.000 (multiplicity 1)
Rb  0.500  0.500  0.500 (multiplicity 1)
Sr  0.500  0.500  0.000 (multiplicity 1)
As  0.000  0.500  0.500 (multiplicity 2)

The value obtained for the formation energy from the elements is 49.3 kJ/mol of atoms. For the total moment, the calculation gives 0.00 μB/atom. As for the calculated density: 3.41 Mg/m³.

---

# 5
The following is a PBE calculation of a relaxed structure of CsRb2SrAs, from the Alexandria database.

Unit cell a=7.137 b=7.137 c=6.125 alpha=90.00 beta=90.00 gamma=90.00
Space group P4/mmm (No. 123)
Asymmetric unit:
Cs  0.000  0.000  0.000 (multiplicity 1)
Rb  0.000  0.500  0.500 (multiplicity 2)
Sr  0.500  0.500  0.000 (multiplicity 1)
As  0.500  0.500  0.500 (multiplicity 1)

The value obtained for the formation energy from the elements is -23.5 kJ/mol of atoms. For the total moment, the calculation gives 0.00 μB/atom. As for the calculated density: 2.48 Mg/m³.

---

# 6
The following is a PBE calculation of a relaxed structure of CsRbTe4As2, from the Alexandria database.

Unit cell a=6.294 b=9.706 c=11.828 alpha=90.00 beta=90.00 gamma=90.00
Space group I222 (No. 23)
Asymmetric unit:
Cs  0.000  0.000  0.000 (multiplicity 2)
Rb  0.000  0.000  0.500 (multiplicity 2)
Te  0.017  0.281  0.741 (multiplicity 8)
As  0.000  0.500  0.135 (multiplicity 4)

For the total moment, the calculation gives 0.00 μB/atom. For the formation energy from raw total energies, the calculation gives -0.343 eV per atom. As for the calculated density: 4.04 Mg/m³.

---

# 7
The following is a PBE calculation of a relaxed structure of Cs2RbTe4As, from the Alexandria database.

Unit cell a=7.191 b=17.370 c=25.800 alpha=90.00 beta=90.00 gamma=90.00
Space group Fddd (No. 70, origin choice 2)
Asymmetric unit:
Cs  0.125  0.125  0.310 (multiplicity 16)
Rb  0.125  0.125  0.125 (multiplicity 8)
Te  0.034  0.275  0.806 (multiplicity 32)
As  0.125  0.125  0.625 (multiplicity 8)

For the total moment, the calculation gives 0.00 μB/atom. For the formation energy from raw total energies, the calculation gives -0.575 eV per atom. As for the calculated density: 3.86 Mg/m³.

---

# 8
The following is a PBE calculation of a relaxed structure of Cs2RbTlAs2, from the Alexandria database.

Unit cell a=8.219 b=16.274 c=7.445 alpha=90.00 beta=90.00 gamma=90.00
Space group Ibam (No. 72)
Asymmetric unit:
Cs  0.214  0.176  0.000 (multiplicity 8)
Rb  0.000  0.500  0.250 (multiplicity 4)
Tl  0.000  0.000  0.250 (multiplicity 4)
As  0.190  0.093  0.500 (multiplicity 8)

The value obtained for the formation energy from the elements is -32.7 kJ/mol of atoms. For the total moment, the calculation gives 0.00 μB/atom. As for the calculated density: 4.71 Mg/m³.

---

# 9
The following is a PBE calculation of a relaxed structure of CsRb2TlAs, from the Alexandria database.

Unit cell a=6.949 b=6.949 c=5.834 alpha=90.00 beta=90.00 gamma=90.00
Space group P4/mmm (No. 123)
Asymmetric unit:
Cs  0.000  0.000  0.000 (multiplicity 1)
Rb  0.000  0.500  0.500 (multiplicity 2)
Tl  0.500  0.500  0.000 (multiplicity 1)
As  0.500  0.500  0.500 (multiplicity 1)

The value obtained for the formation energy from the elements is -5.9 kJ/mol of atoms. For the total moment, the calculation gives 0.03 μB/atom. As for the calculated density: 3.44 Mg/m³.

---

# 10
The following is a PBE calculation of a relaxed structure of CsRb2TlAs2, from the Alexandria database.

Unit cell a=6.068 b=6.068 c=16.841 alpha=90.00 beta=90.00 gamma=90.00
Space group I4/mmm (No. 139)
Asymmetric unit:
Cs  0.000  0.000  0.000 (multiplicity 2)
Rb  0.000  0.500  0.250 (multiplicity 4)
Tl  0.000  0.000  0.500 (multiplicity 2)
As  0.000  0.000  0.352 (multiplicity 4)

The value obtained for the formation energy from the elements is -25.8 kJ/mol of atoms. For the total moment, the calculation gives 0.00 μB/atom. As for the calculated density: 3.52 Mg/m³.

---

# 11
The following is a PBE calculation of a relaxed structure of Cs4Rb2TlAs2, from the Alexandria database.

Unit cell a=16.596 b=11.255 c=5.462 alpha=90.00 beta=109.07 gamma=90.00
Space group C2/m (No. 12)
Asymmetric unit:
Cs  0.140  0.198  0.141 (multiplicity 8)
Rb  0.147  0.500  0.648 (multiplicity 4)
Tl  0.000  0.000  0.500 (multiplicity 2)
As  0.209  0.000  0.709 (multiplicity 4)

The value obtained for the formation energy from the elements is -15.0 kJ/mol of atoms. For the total moment, the calculation gives 0.12 μB/atom. As for the calculated density: 3.64 Mg/m³.

---

# 12
The following is a PBE calculation of a relaxed structure of Cs2RbZnAs2, from the Alexandria database.

Unit cell a=8.392 b=15.446 c=7.134 alpha=90.00 beta=90.00 gamma=90.00
Space group Ibam (No. 72)
Asymmetric unit:
Cs  0.207  0.174  0.000 (multiplicity 8)
Rb  0.000  0.500  0.250 (multiplicity 4)
Zn  0.000  0.000  0.250 (multiplicity 4)
As  0.172  0.080  0.500 (multiplicity 8)

The value obtained for the formation energy from the elements is -29.0 kJ/mol of atoms. For the total moment, the calculation gives 0.00 μB/atom. As for the calculated density: 4.07 Mg/m³.